Record 1
# Fe4Cl5 (PBE, relaxed)
# Final energy   -4.9213 eV per atom
# Excess energy over the best structure of this formula in the dataset   0 meV/atom
# DOS at the Fermi energy   0.5225 states/eV per atom
# Formation energy (no corrections)   -1.21 eV per formula unit
data_Fe4Cl5
_cell_length_a 6.2080
_cell_length_b 6.2080
_cell_length_c 6.2080
_cell_angle_alpha 103.91
_cell_angle_beta 103.91
_cell_angle_gamma 121.29
_symmetry_space_group_name_H-M 'P 1'
_symmetry_Int_Tables_number 1
loop_
_symmetry_equiv_pos_as_xyz
'x,y,z'
loop_
_atom_site_label
_atom_site_fract_x
_atom_site_fract_y
_atom_site_fract_z
Fe1 0.6534 0.0000 0.6534
Cl1 0.7029 0.2971 0.0000
Cl2 0.0000 0.0000 0.0000
Fe2 0.3466 0.0000 0.3466
Cl3 0.2971 0.7029 0.0000
Fe3 0.0000 0.6534 0.6534
Fe4 0.0000 0.3466 0.3466
Cl4 0.7029 0.7029 0.4058
Cl5 0.2971 0.2971 0.5942



Record 2
# PtI3N (PBE, relaxed)
# Final energy   -3.1363 eV per atom
# Excess energy over the best structure of this formula in the dataset   0 meV/atom
# Formation energy (no corrections)   3.34 eV per formula unit
data_PtI3N
_cell_length_a 9.3327
_cell_length_b 9.3327
_cell_length_c 8.8709
_cell_angle_alpha 70.31
_cell_angle_beta 70.31
_cell_angle_gamma 49.06
_symmetry_space_group_name_H-M 'P 1'
_symmetry_Int_Tables_number 1
loop_
_symmetry_equiv_pos_as_xyz
'x,y,z'
loop_
_atom_site_label
_atom_site_fract_x
_atom_site_fract_y
_atom_site_fract_z
I1 0.9086 0.9086 0.6785
Pt1 0.7496 0.2504 0.5000
Pt2 0.2504 0.7496 0.5000
I2 0.0914 0.0914 0.3215
N1 0.6994 0.6994 0.9032
I3 0.4081 0.4081 0.6804
N2 0.3006 0.3006 0.0968
I4 0.5919 0.5919 0.3196
I5 0.6280 0.6280 0.7733
I6 0.3720 0.3720 0.2267



Record 3
# Rb2ZrCuSe4 (PBE, relaxed)
# Final energy   -4.4237 eV per atom
# DOS at the Fermi energy   0.5131 states/eV per atom
# Formation energy (no corrections)   -6.87 eV per formula unit
data_Rb2ZrCuSe4
_cell_length_a 8.7872
_cell_length_b 8.7872
_cell_length_c 8.1292
_cell_angle_alpha 117.46
_cell_angle_beta 117.46
_cell_angle_gamma 95.65
_symmetry_space_group_name_H-M 'P 1'
_symmetry_Int_Tables_number 1
loop_
_symmetry_equiv_pos_as_xyz
'x,y,z'
loop_
_atom_site_label
_atom_site_fract_x
_atom_site_fract_y
_atom_site_fract_z
Zr1 0.0000 0.5000 0.0000
Cu1 0.5000 0.5000 0.5000
Se1 0.2112 0.7027 0.9566
Cu2 0.0000 0.0000 0.0000
Se2 0.7836 0.7130 0.5628
Se3 0.2164 0.2870 0.4372
Rb1 0.5000 0.0000 0.0000
Rb2 0.5000 0.5000 0.0000
Se4 0.2130 0.2836 0.0628
Se5 0.7870 0.7164 0.9372
Rb3 0.5000 0.0000 0.5000
Se6 0.7973 0.2888 0.5434
Rb4 0.0000 0.0000 0.5000
Zr2 0.0000 0.5000 0.5000
Se7 0.7888 0.2973 0.0434
Se8 0.2027 0.7112 0.4566



Record 4
# AsPb2SeF (PBE, relaxed)
# Final energy   -3.6738 eV per atom
# DOS at the Fermi energy   0.5198 states/eV per atom
# Formation energy (no corrections)   -0.95 eV per formula unit
data_AsPb2SeF
_cell_length_a 5.8102
_cell_length_b 4.1177
_cell_length_c 5.8102
_cell_angle_alpha 90.00
_cell_angle_beta 90.00
_cell_angle_gamma 90.00
_symmetry_space_group_name_H-M 'P 1'
_symmetry_Int_Tables_number 1
loop_
_symmetry_equiv_pos_as_xyz
'x,y,z'
loop_
_atom_site_label
_atom_site_fract_x
_atom_site_fract_y
_atom_site_fract_z
Pb1 0.0000 0.0000 0.5000
Se1 0.0000 0.0000 0.0000
Pb2 0.5000 0.0000 0.0000
F1 0.0000 0.5000 0.0000
As1 0.5000 0.5000 0.5000



Record 5
# Hf3GaAs (PBE, relaxed)
# Final energy   -7.7994 eV per atom
# Excess energy over the best structure of this formula in the dataset   0 meV/atom
# Formation energy from the elements   -1.46 eV/f.u.
# DOS at the Fermi energy   0.7205 states/eV per atom
data_Hf3GaAs
_cell_length_a 7.0832
_cell_length_b 7.0832
_cell_length_c 12.0330
_cell_angle_alpha 76.38
_cell_angle_beta 76.38
_cell_angle_gamma 48.81
_symmetry_space_group_name_H-M 'P 1'
_symmetry_Int_Tables_number 1
loop_
_symmetry_equiv_pos_as_xyz
'x,y,z'
loop_
_atom_site_label
_atom_site_fract_x
_atom_site_fract_y
_atom_site_fract_z
Ga1 0.1528 0.6016 0.0899
Hf1 0.1483 0.7041 0.5704
As1 0.0000 0.5000 0.5000
Hf2 0.7041 0.1483 0.0704
As2 0.8555 0.1445 0.2500
Hf3 0.4265 0.2658 0.3714
Hf4 0.8517 0.2959 0.4296
Hf5 0.2658 0.4265 0.8714
Hf6 0.7342 0.5735 0.1286
Hf7 0.2570 0.1497 0.2025
Hf8 0.5735 0.7342 0.6286
Ga2 0.3984 0.8472 0.4101
Hf9 0.1497 0.2570 0.7025
As3 0.5000 0.0000 0.0000
Hf10 0.7430 0.8503 0.7975
Hf11 0.8503 0.7430 0.2975
Ga3 0.6016 0.1528 0.5899
As4 0.1445 0.8555 0.7500
Hf12 0.2959 0.8517 0.9296
Ga4 0.8472 0.3984 0.9101



Record 6
# Tb5CoSb2 (PBE, relaxed)
# Final energy   -5.5247 eV per atom
# Excess energy over the best structure of this formula in the dataset   0 meV/atom
# DOS at the Fermi energy   0.6319 states/eV per atom
# Formation energy (no corrections)   -5.70 eV per formula unit
data_Tb5CoSb2
_cell_length_a 7.9459
_cell_length_b 8.7785
_cell_length_c 12.2605
_cell_angle_alpha 90.00
_cell_angle_beta 90.00
_cell_angle_gamma 90.00
_symmetry_space_group_name_H-M 'P 1'
_symmetry_Int_Tables_number 1
loop_
_symmetry_equiv_pos_as_xyz
'x,y,z'
loop_
_atom_site_label
_atom_site_fract_x
_atom_site_fract_y
_atom_site_fract_z
Tb1 0.4561 0.7500 0.9980
Co1 0.9324 0.2500 0.0101
Sb1 0.5720 0.9919 0.8266
Co2 0.0676 0.7500 0.9899
Sb2 0.9280 0.9919 0.3266
Tb2 0.1789 0.4644 0.9355
Sb3 0.4280 0.4919 0.1734
Tb3 0.5439 0.2500 0.0020
Tb4 0.8777 0.7500 0.8061
Tb5 0.6789 0.5356 0.5645
Sb4 0.9280 0.5081 0.3266
Sb5 0.0720 0.0081 0.6734
Tb6 0.3463 0.7500 0.7023
Tb7 0.6537 0.2500 0.2977
Tb8 0.3211 0.4644 0.4355
Tb9 0.6789 0.9644 0.5645
Tb10 0.1789 0.0356 0.9355
Co3 0.5676 0.2500 0.5101
Co4 0.4324 0.7500 0.4899
Tb11 0.6223 0.7500 0.3061
Tb12 0.0439 0.7500 0.4980
Tb13 0.3211 0.0356 0.4355
Tb14 0.1223 0.2500 0.1939
Tb15 0.8463 0.2500 0.7977
Tb16 0.3777 0.2500 0.6939
Tb17 0.8211 0.9644 0.0645
Tb18 0.9561 0.2500 0.5020
Sb6 0.4280 0.0081 0.1734
Tb19 0.1537 0.7500 0.2023
Sb7 0.0720 0.4919 0.6734
Sb8 0.5720 0.5081 0.8266
Tb20 0.8211 0.5356 0.0645



Record 7
# TcHgN2 (PBE, relaxed)
# Final energy   -5.4839 eV per atom
# DOS at the Fermi energy   0.5974 states/eV per atom
# Formation energy (no corrections)   5.38 eV per formula unit
data_TcHgN2
_cell_length_a 6.9308
_cell_length_b 6.9308
_cell_length_c 6.9308
_cell_angle_alpha 26.61
_cell_angle_beta 26.61
_cell_angle_gamma 26.61
_symmetry_space_group_name_H-M 'P 1'
_symmetry_Int_Tables_number 1
loop_
_symmetry_equiv_pos_as_xyz
'x,y,z'
loop_
_atom_site_label
_atom_site_fract_x
_atom_site_fract_y
_atom_site_fract_z
Hg1 0.5000 0.5000 0.5000
Tc1 0.0000 0.0000 0.0000
N1 0.0915 0.0915 0.0915
N2 0.9085 0.9085 0.9085



Record 8
# K2Hg13 (PBE, relaxed)
# Final energy   -0.5228 eV per atom
# Excess energy over the best structure of this formula in the dataset   0 meV/atom
# Formation energy from the elements   -1.72 eV/f.u.
# DOS at the Fermi energy   0.3647 states/eV per atom
data_K2Hg13
_cell_length_a 6.9007
_cell_length_b 6.9007
_cell_length_c 12.6555
_cell_angle_alpha 74.18
_cell_angle_beta 74.18
_cell_angle_gamma 60.00
_symmetry_space_group_name_H-M 'P 1'
_symmetry_Int_Tables_number 1
loop_
_symmetry_equiv_pos_as_xyz
'x,y,z'
loop_
_atom_site_label
_atom_site_fract_x
_atom_site_fract_y
_atom_site_fract_z
Hg1 0.0200 0.5523 0.8754
Hg2 0.5523 0.0200 0.8754
K1 0.8034 0.8034 0.5897
Hg3 0.9800 0.4477 0.1246
K2 0.1966 0.1966 0.4103
Hg4 0.4477 0.9800 0.1246
Hg5 0.7428 0.7428 0.3154
Hg6 0.1990 0.7428 0.3154
Hg7 0.5000 0.5000 0.5000
Hg8 0.4477 0.4477 0.1246
Hg9 0.2572 0.8010 0.6846
Hg10 0.2572 0.2572 0.6846
Hg11 0.8010 0.2572 0.6846
Hg12 0.5523 0.5523 0.8754
Hg13 0.7428 0.1990 0.3154



Record 9
# Mg4GaSn (PBE, relaxed)
# Final energy   -2.3674 eV per atom
# Excess energy over the best structure of this formula in the dataset   0 meV/atom
# Formation energy from the elements   -0.80 eV/f.u.
# DOS at the Fermi energy   0.2547 states/eV per atom
data_Mg4GaSn
_cell_length_a 6.6213
_cell_length_b 6.6210
_cell_length_c 8.1806
_cell_angle_alpha 113.66
_cell_angle_beta 113.66
_cell_angle_gamma 90.08
_symmetry_space_group_name_H-M 'P 1'
_symmetry_Int_Tables_number 1
loop_
_symmetry_equiv_pos_as_xyz
'x,y,z'
loop_
_atom_site_label
_atom_site_fract_x
_atom_site_fract_y
_atom_site_fract_z
Ga1 0.2500 0.2500 0.0000
Sn1 0.0000 0.5000 0.5000
Mg1 0.8827 0.8825 0.7636
Mg2 0.3827 0.3825 0.7636
Ga2 0.7500 0.7500 0.0000
Mg3 0.1173 0.1175 0.2364
Mg4 0.6173 0.6175 0.2364
Mg5 0.3815 0.8814 0.7641
Mg6 0.8815 0.3814 0.7641
Sn2 0.5000 0.0000 0.5000
Mg7 0.6185 0.1186 0.2359
Mg8 0.1185 0.6186 0.2359